(1)
Density functional theory data (GGA-PBE) for a geometry-optimized Cs4N2Cl3 structure.

Results
ΔE_f (raw): -11.8 eV/f.u.
Crystal system: monoclinic

Cell: 16.6242 9.2073 9.5068 Å, 90.00 98.21 90.00°
Space group C2/c (No. 15)
One atom of each set of equivalent atoms:
Cs  0.0409  0.2274  0.0263
Cs  0.2224  0.4497  0.3258
N  0.2280  0.2704  0.0394
Cl  0.0000  0.4787  0.7500
Cl  0.1332  0.0974  0.3749



(2)
Density functional theory data (GGA-PBE) for a geometry-optimized CsNCl4 structure.

Results
ΔE_f (raw): -1.5 eV/f.u.
Crystal system: monoclinic

Cell: 6.5539 7.4771 8.2044 Å, 90.00 95.61 90.00°
Space group P2_1/m (No. 11)
One atom of each set of equivalent atoms:
Cs  0.2319  0.2500  0.3569
N  0.2530  0.2500  0.7748
Cl  0.0156  0.2500  0.8538
Cl  0.2702  0.5762  0.6806
Cl  0.4449  0.2500  0.9349